No. 1
Density functional theory data (PBE-GGA) for a relaxed AsPbO3 crystal.

The structure in POSCAR format:
```
AsPbO3
1.0
6.1141 0.0000 0.0000
-3.0570 5.2950 0.0000
0.0000 0.0000 9.4497
As Pb O
3 3 9
Direct
0.0000 0.0000 0.0000 As
0.3333 0.6667 0.6667 As
0.6667 0.3333 0.3333 As
0.0000 0.0000 0.3256 Pb
0.3333 0.6667 0.9923 Pb
0.6667 0.3333 0.6590 Pb
0.0466 0.5233 0.7731 O
0.1434 0.2868 0.1064 O
0.1434 0.8566 0.1064 O
0.3799 0.1900 0.4397 O
0.4767 0.5233 0.7731 O
0.4767 0.9534 0.7731 O
0.7132 0.8566 0.1064 O
0.8100 0.1900 0.4397 O
0.8100 0.6201 0.4397 O
```

Summary:
**Space-group type**: R3m, No. 160
**DOS(E_F)**: 3.34 states/eV/cell
**Formation energy without anion corrections**: -1.049 eV/atom

No. 2
Density functional theory data (PBE-GGA) for a relaxed Y2CuTe crystal.

The structure in POSCAR format:
```
Y2CuTe
1.0
3.7843 0.0000 0.0000
0.0000 3.7825 0.0000
-0.0112 0.0000 6.8180
Y Cu Te
2 1 1
Direct
0.9998 0.0000 0.2362 Y
0.0002 0.0000 0.7638 Y
0.5000 0.5000 0.0000 Cu
0.5000 0.5000 0.5000 Te
```

Summary:
**Space-group type**: P2/m, No. 10
**DOS(E_F)**: 2.91 states/eV/cell
**Formation energy without anion corrections**: -0.613 eV/atom

No. 3
Density functional theory data (PBE-GGA) for a relaxed Sm2HfIn crystal.

The structure in POSCAR format:
```
Sm2HfIn
1.0
3.2876 0.0000 0.0000
-1.6438 2.8471 0.0000
0.0000 0.0000 36.1035
Sm Hf In
6 3 3
Direct
0.0000 0.0000 0.0891 Sm
0.0000 0.0000 0.9109 Sm
0.3333 0.6667 0.5775 Sm
0.3333 0.6667 0.7558 Sm
0.6667 0.3333 0.2442 Sm
0.6667 0.3333 0.4225 Sm
0.0000 0.0000 0.0000 Hf
0.3333 0.6667 0.6667 Hf
0.6667 0.3333 0.3333 Hf
0.0000 0.0000 0.5000 In
0.3333 0.6667 0.1667 In
0.6667 0.3333 0.8333 In
```

Summary:
**Space-group type**: R-3m, No. 166
**DOS(E_F)**: 19.41 states/eV/cell
**ΔH_f (0 K)**: 0.26 eV per atom

No. 4
Density functional theory data (PBE-GGA) for a relaxed InCu3 crystal.

The structure in POSCAR format:
```
InCu3
1.0
4.8930 0.0000 0.0000
0.0000 4.8930 0.0000
0.0000 0.0000 4.8930
In Cu
2 6
Direct
0.0000 0.0000 0.0000 In
0.5000 0.5000 0.5000 In
0.0000 0.2500 0.5000 Cu
0.0000 0.7500 0.5000 Cu
0.2500 0.5000 0.0000 Cu
0.5000 0.0000 0.2500 Cu
0.5000 0.0000 0.7500 Cu
0.7500 0.5000 0.0000 Cu
```

Summary:
**Space-group type**: Pm-3n, No. 223
**DOS(E_F)**: 1.92 states/eV/cell
**ΔH_f (0 K)**: 0.07 eV per atom

Q: Look up the DOS(E_F) of the first one.
A: 3.34 states/eV/cell